#w
# CoSbTe2S PBE relaxed
# - V: 140 Å³/cell
# - Symmetry: No. 123
data_CoSbTe2S
_chemical_formula_sum 'Co1 Sb1 Te2 S1'
_space_group_name_H-M_alt 'P 1'
_space_group_IT_number 1
_cell_length_a 5.1780
_cell_length_b 5.1780
_cell_length_c 5.2066
_cell_angle_alpha 90.00
_cell_angle_beta 90.00
_cell_angle_gamma 90.00
loop_
_space_group_symop_operation_xyz
'x,y,z'
loop_
_atom_site_label
_atom_site_fract_x
_atom_site_fract_y
_atom_site_fract_z
Co1 0.0000 0.0000 0.0000
Sb1 0.5000 0.5000 0.0000
Te1 0.0000 0.5000 0.5000
Te2 0.5000 0.0000 0.5000
S1 0.5000 0.5000 0.5000



#x
# CoSbTe2S PBE relaxed
# - V: 122 Å³/cell
# - Symmetry: No. 123
data_CoSbTe2S
_chemical_formula_sum 'Co1 Sb1 Te2 S1'
_space_group_name_H-M_alt 'P 1'
_space_group_IT_number 1
_cell_length_a 4.9763
_cell_length_b 4.9763
_cell_length_c 4.9175
_cell_angle_alpha 90.00
_cell_angle_beta 90.00
_cell_angle_gamma 90.00
loop_
_space_group_symop_operation_xyz
'x,y,z'
loop_
_atom_site_label
_atom_site_fract_x
_atom_site_fract_y
_atom_site_fract_z
Co1 0.0000 0.0000 0.0000
Sb1 0.0000 0.0000 0.5000
Te1 0.0000 0.5000 0.0000
Te2 0.5000 0.0000 0.0000
S1 0.5000 0.5000 0.5000



List of relative energies, unit meV per atom: #w 495; #x 0



#w
# ScCoS3 PBE relaxed
# - V: 115 Å³/cell
# - Symmetry: No. 221
data_ScCoS3
_chemical_formula_sum 'Sc1 Co1 S3'
_space_group_name_H-M_alt 'P 1'
_space_group_IT_number 1
_cell_length_a 4.8678
_cell_length_b 4.8678
_cell_length_c 4.8678
_cell_angle_alpha 90.00
_cell_angle_beta 90.00
_cell_angle_gamma 90.00
loop_
_space_group_symop_operation_xyz
'x,y,z'
loop_
_atom_site_label
_atom_site_fract_x
_atom_site_fract_y
_atom_site_fract_z
Sc1 0.0000 0.0000 0.0000
Co1 0.5000 0.5000 0.5000
S1 0.0000 0.0000 0.5000
S2 0.0000 0.5000 0.0000
S3 0.5000 0.0000 0.0000



#x
# ScCoS3 PBE relaxed
# - V: 86 Å³/cell
# - Symmetry: No. 221
data_ScCoS3
_chemical_formula_sum 'Sc1 Co1 S3'
_space_group_name_H-M_alt 'P 1'
_space_group_IT_number 1
_cell_length_a 4.4105
_cell_length_b 4.4105
_cell_length_c 4.4105
_cell_angle_alpha 90.00
_cell_angle_beta 90.00
_cell_angle_gamma 90.00
loop_
_space_group_symop_operation_xyz
'x,y,z'
loop_
_atom_site_label
_atom_site_fract_x
_atom_site_fract_y
_atom_site_fract_z
Sc1 0.0000 0.0000 0.0000
Co1 0.5000 0.5000 0.5000
S1 0.0000 0.5000 0.5000
S2 0.5000 0.0000 0.5000
S3 0.5000 0.5000 0.0000



List of relative energies, unit meV per atom: #w 507; #x 0



#w
# Co2Se2S PBE relaxed
# - V: 328 Å³/cell
# - Symmetry: No. 62
data_Co2Se2S
_chemical_formula_sum 'Co8 Se8 S4'
_space_group_name_H-M_alt 'P 1'
_space_group_IT_number 1
_cell_length_a 7.0812
_cell_length_b 4.6585
_cell_length_c 9.9494
_cell_angle_alpha 90.00
_cell_angle_beta 90.00
_cell_angle_gamma 90.00
loop_
_space_group_symop_operation_xyz
'x,y,z'
loop_
_atom_site_label
_atom_site_fract_x
_atom_site_fract_y
_atom_site_fract_z
Co1 0.0859 0.2500 0.2348
Co2 0.2451 0.7500 0.1003
Co3 0.2549 0.2500 0.6003
Co4 0.4141 0.7500 0.7348
Co5 0.5859 0.2500 0.2652
Co6 0.7451 0.7500 0.3997
Co7 0.7549 0.2500 0.8997
Co8 0.9141 0.7500 0.7652
Se1 0.0234 0.2500 0.7778
Se2 0.1477 0.7500 0.5855
Se3 0.3523 0.2500 0.0855
Se4 0.4766 0.7500 0.2778
Se5 0.5234 0.2500 0.7222
Se6 0.6477 0.7500 0.9145
Se7 0.8523 0.2500 0.4145
Se8 0.9766 0.7500 0.2222
S1 0.1877 0.7500 0.8880
S2 0.3123 0.2500 0.3880
S3 0.6877 0.7500 0.6120
S4 0.8123 0.2500 0.1120



#x
# Co2Se2S PBE relaxed
# - V: 171 Å³/cell
# - Symmetry: No. 15
data_Co2Se2S
_chemical_formula_sum 'Co4 Se4 S2'
_space_group_name_H-M_alt 'P 1'
_space_group_IT_number 1
_cell_length_a 6.1725
_cell_length_b 6.1725
_cell_length_c 5.7076
_cell_angle_alpha 97.69
_cell_angle_beta 97.69
_cell_angle_gamma 124.59
loop_
_space_group_symop_operation_xyz
'x,y,z'
loop_
_atom_site_label
_atom_site_fract_x
_atom_site_fract_y
_atom_site_fract_z
Co1 0.1322 0.3192 0.0140
Co2 0.3192 0.1322 0.5140
Co3 0.6808 0.8678 0.4860
Co4 0.8678 0.6808 0.9860
Se1 0.2526 0.7474 0.2500
Se2 0.4446 0.5554 0.7500
Se3 0.5554 0.4446 0.2500
Se4 0.7474 0.2526 0.7500
S1 0.0405 0.9595 0.7500
S2 0.9595 0.0405 0.2500



List of relative energies, unit meV per atom: #w 57; #x 0



#w
# Co3SeS PBE relaxed
# - V: 73 Å³/cell
# - Symmetry: No. 221
data_Co3SeS
_chemical_formula_sum 'Co3 Se1 S1'
_space_group_name_H-M_alt 'P 1'
_space_group_IT_number 1
_cell_length_a 4.1853
_cell_length_b 4.1853
_cell_length_c 4.1853
_cell_angle_alpha 90.00
_cell_angle_beta 90.00
_cell_angle_gamma 90.00
loop_
_space_group_symop_operation_xyz
'x,y,z'
loop_
_atom_site_label
_atom_site_fract_x
_atom_site_fract_y
_atom_site_fract_z
Co1 0.0000 0.0000 0.5000
Co2 0.0000 0.5000 0.0000
Co3 0.5000 0.0000 0.0000
Se1 0.5000 0.5000 0.5000
S1 0.0000 0.0000 0.0000



#x
# Co3SeS PBE relaxed
# - V: 86 Å³/cell
# - Symmetry: No. 221
data_Co3SeS
_chemical_formula_sum 'Co3 Se1 S1'
_space_group_name_H-M_alt 'P 1'
_space_group_IT_number 1
_cell_length_a 4.4217
_cell_length_b 4.4217
_cell_length_c 4.4217
_cell_angle_alpha 90.00
_cell_angle_beta 90.00
_cell_angle_gamma 90.00
loop_
_space_group_symop_operation_xyz
'x,y,z'
loop_
_atom_site_label
_atom_site_fract_x
_atom_site_fract_y
_atom_site_fract_z
Co1 0.0000 0.0000 0.5000
Co2 0.0000 0.5000 0.0000
Co3 0.5000 0.0000 0.0000
Se1 0.0000 0.0000 0.0000
S1 0.5000 0.5000 0.5000



List of relative energies, unit meV per atom: #w 0; #x 492



#w
# CoSi3S PBE relaxed
# - V: 81 Å³/cell
# - Symmetry: No. 221
data_CoSi3S
_chemical_formula_sum 'Co1 Si3 S1'
_space_group_name_H-M_alt 'P 1'
_space_group_IT_number 1
_cell_length_a 4.3311
_cell_length_b 4.3311
_cell_length_c 4.3311
_cell_angle_alpha 90.00
_cell_angle_beta 90.00
_cell_angle_gamma 90.00
loop_
_space_group_symop_operation_xyz
'x,y,z'
loop_
_atom_site_label
_atom_site_fract_x
_atom_site_fract_y
_atom_site_fract_z
Co1 0.0000 0.0000 0.0000
Si1 0.0000 0.0000 0.5000
Si2 0.0000 0.5000 0.0000
Si3 0.5000 0.0000 0.0000
S1 0.5000 0.5000 0.5000



#x
# CoSi3S PBE relaxed
# - V: 84 Å³/cell
# - Symmetry: No. 221
data_CoSi3S
_chemical_formula_sum 'Co1 Si3 S1'
_space_group_name_H-M_alt 'P 1'
_space_group_IT_number 1
_cell_length_a 4.3846
_cell_length_b 4.3846
_cell_length_c 4.3846
_cell_angle_alpha 90.00
_cell_angle_beta 90.00
_cell_angle_gamma 90.00
loop_
_space_group_symop_operation_xyz
'x,y,z'
loop_
_atom_site_label
_atom_site_fract_x
_atom_site_fract_y
_atom_site_fract_z
Co1 0.0000 0.0000 0.0000
Si1 0.0000 0.5000 0.5000
Si2 0.5000 0.0000 0.5000
Si3 0.5000 0.5000 0.0000
S1 0.5000 0.5000 0.5000



List of relative energies, unit meV per atom: #w 0; #x 1033



#w
# Co2SiS PBE relaxed
# - V: 126 Å³/cell
# - Symmetry: No. 122
data_Co2SiS
_chemical_formula_sum 'Co4 Si2 S2'
_space_group_name_H-M_alt 'P 1'
_space_group_IT_number 1
_cell_length_a 6.2523
_cell_length_b 6.2523
_cell_length_c 6.2523
_cell_angle_alpha 133.56
_cell_angle_beta 133.56
_cell_angle_gamma 67.77
loop_
_space_group_symop_operation_xyz
'x,y,z'
loop_
_atom_site_label
_atom_site_fract_x
_atom_site_fract_y
_atom_site_fract_z
Co1 0.1022 0.6250 0.9772
Co2 0.3750 0.3522 0.4772
Co3 0.6478 0.1250 0.0228
Co4 0.8750 0.8978 0.5228
Si1 0.2500 0.7500 0.5000
Si2 0.5000 0.5000 0.0000
S1 0.0000 0.0000 0.0000
S2 0.7500 0.2500 0.5000



#x
# Co2SiS PBE relaxed
# - V: 47 Å³/cell
# - Symmetry: No. 225
data_Co2SiS
_chemical_formula_sum 'Co2 Si1 S1'
_space_group_name_H-M_alt 'P 1'
_space_group_IT_number 1
_cell_length_a 4.0431
_cell_length_b 4.0431
_cell_length_c 4.0431
_cell_angle_alpha 60.00
_cell_angle_beta 60.00
_cell_angle_gamma 60.00
loop_
_space_group_symop_operation_xyz
'x,y,z'
loop_
_atom_site_label
_atom_site_fract_x
_atom_site_fract_y
_atom_site_fract_z
Co1 0.2500 0.2500 0.2500
Co2 0.7500 0.7500 0.7500
Si1 0.0000 0.0000 0.0000
S1 0.5000 0.5000 0.5000



List of relative energies, unit meV per atom: #w 0; #x 88